Entry 1:
Computed, not measured: a relaxed KReCl2 crystal at the PBE level of DFT.

Cell: 3.1673 4.3184 14.5876 Å, 90.00 90.00 90.00°
Last column: nearest neighbours and their distance in Å.
Space group Imm2 (No. 44)
Asymmetric unit:
K (0.0000, 0.0000, 0.0000)  4 Cl 3.02, 2 K 3.17
Re (0.0000, 0.5000, 0.7266)  4 Cl 2.69
Cl (0.0000, 0.0000, 0.4048)  4 K 3.02, 2 Re 3.04, 2 Cl 3.17
Cl (0.0000, 0.5000, 0.2114)  4 Re 2.69

Spin magnetization (μB per formula unit): 3.47
Energy relative to the elements, uncorrected (eV/atom): 0.2838
Crystal system: orthorhombic

---

Entry 2:
Computed, not measured: a relaxed MoRu2 crystal at the PBE level of DFT.

Cell: 2.7683 14.3218 4.3986 Å, 90.00 90.00 90.00°
Last column: nearest neighbours and their distance in Å.
Space group Cmcm (No. 63)
Asymmetric unit:
Mo (0.0000, 0.1100, 0.2500)  10 Ru 2.70-2.79, 2 Mo 2.77
Ru (0.0000, 0.2226, 0.7500)  8 Ru 2.71-2.77, 4 Mo 2.73-2.77
Ru (0.0000, 0.4408, 0.2500)  6 Mo 2.70-2.79, 6 Ru 2.72-2.78

Spin magnetization (μB per formula unit): 0.00
Formation energy from the elements (kJ/mol of formula units): 1
Crystal system: orthorhombic

---

Entry 3:
Computed, not measured: a relaxed SmTmPuTl crystal at the PBE level of DFT.

Cell: 7.7287 7.7287 7.7287 Å, 90.00 90.00 90.00°
Last column: nearest neighbours and their distance in Å.
Space group F-43m (No. 216)
Asymmetric unit:
Sm (0.0000, 0.0000, 0.0000)  4 Tl 3.35, 4 Tm 3.35
Tm (0.2500, 0.2500, 0.2500)  4 Sm 3.35, 4 Pu 3.35
Pu (0.0000, 0.0000, 0.5000)  4 Tm 3.35, 4 Tl 3.35
Tl (0.2500, 0.2500, 0.7500)  4 Pu 3.35, 4 Sm 3.35

Spin magnetization (μB per formula unit): 6.78
Formation energy from the elements (kJ/mol of formula units): 23
Crystal system: cubic

---

Entry 4:
Computed, not measured: a relaxed CeInCoAu crystal at the PBE level of DFT.

Cell: 6.8792 6.8792 6.8792 Å, 90.00 90.00 90.00°
Last column: nearest neighbours and their distance in Å.
Space group F-43m (No. 216)
Asymmetric unit:
Ce (0.0000, 0.0000, 0.0000)  4 Au 2.98, 4 Co 2.98
In (0.0000, 0.0000, 0.5000)  4 Co 2.98, 4 Au 2.98
Co (0.2500, 0.2500, 0.7500)  4 Ce 2.98, 4 In 2.98
Au (0.2500, 0.2500, 0.2500)  4 In 2.98, 4 Ce 2.98

Spin magnetization (μB per formula unit): 0.68
Formation energy from the elements (kJ/mol of formula units): -95
Crystal system: cubic

---

Entry 5:
Computed, not measured: a relaxed PrMoH3 crystal at the PBE level of DFT.

Cell: 3.7948 3.7948 3.7948 Å, 90.00 90.00 90.00°
Last column: nearest neighbours and their distance in Å.
Space group Pm-3m (No. 221)
Asymmetric unit:
Pr (0.0000, 0.0000, 0.0000)  12 H 2.68
Mo (0.5000, 0.5000, 0.5000)  6 H 1.90
H (0.0000, 0.5000, 0.5000)  2 Mo 1.90

Spin magnetization (μB per formula unit): 0.00
Raw total energy (eV/atom): -5.38
Crystal system: cubic

---

Which formula does entry 5 have? PrMoH3

---

What is the formula in the second record? MoRu2

---

Among the records above, which one has the highest spin magnetization? SmTmPuTl